A PBEsol-optimized structure of CuAs2PbO7. Source: the Alexandria database, functional SCAN.

Geometry as POSCAR:
```
CuAs2PbO7
1.0
5.605 0.000 -0.002
0.000 8.346 0.000
-0.502 0.000 12.978
Cu As Pb O
4 8 4 28
Direct
0.798 0.134 0.119 Cu
0.702 0.634 0.381 Cu
0.202 0.866 0.881 Cu
0.298 0.366 0.619 Cu
0.671 0.814 0.006 As
0.829 0.314 0.494 As
0.329 0.186 0.994 As
0.171 0.686 0.506 As
0.750 0.527 0.157 As
0.750 0.027 0.343 As
0.250 0.473 0.843 As
0.250 0.973 0.657 As
0.294 0.319 0.276 Pb
0.206 0.819 0.224 Pb
0.706 0.681 0.724 Pb
0.794 0.181 0.776 Pb
0.854 0.835 0.347 O
0.646 0.335 0.153 O
0.146 0.165 0.653 O
0.354 0.665 0.847 O
0.459 0.046 0.307 O
0.041 0.546 0.193 O
0.541 0.954 0.693 O
0.959 0.454 0.807 O
0.937 0.124 0.262 O
0.563 0.624 0.238 O
0.063 0.876 0.738 O
0.437 0.376 0.762 O
0.129 0.355 0.485 O
0.371 0.855 0.015 O
0.871 0.645 0.515 O
0.629 0.145 0.985 O
0.296 0.396 0.968 O
0.204 0.896 0.532 O
0.704 0.604 0.032 O
0.796 0.104 0.468 O
0.174 0.098 0.892 O
0.326 0.598 0.608 O
0.826 0.902 0.108 O
0.674 0.402 0.392 O
0.699 0.331 0.608 O
0.801 0.831 0.892 O
0.301 0.669 0.392 O
0.199 0.169 0.108 O
```

## Properties
SG = No. 14
Raw total energy = -17.185 eV/atom

A PBEsol-optimized structure of Be2CrAg. Source: the Alexandria database, functional SCAN.

Geometry as POSCAR:
```
Be2CrAg
1.0
-3.086 -2.529 -0.813
-1.477 -2.417 2.926
-3.689 0.720 1.566
Cr Ag Be
1 1 2
Direct
0.250 0.250 0.250 Cr
0.500 0.500 0.500 Ag
0.000 0.000 0.000 Be
0.750 0.750 0.750 Be
```

## Properties
Excess energy over the best structure of this formula in the dataset = 87 meV/atom
Formation energy = 283 meV per atom
SG = No. 216
Raw total energy = -14.332 eV/atom

A PBEsol-optimized structure of BiSbIrI2. Source: the Alexandria database, functional SCAN.

Geometry as POSCAR:
```
BiSbIrI2
1.0
5.045 0.000 0.000
0.000 5.372 0.000
0.000 0.000 5.372
I Sb Ir Bi
2 1 1 1
Direct
0.000 0.000 0.500 I
0.000 0.500 0.000 I
0.500 0.000 0.000 Sb
0.000 0.000 0.000 Ir
0.500 0.500 0.500 Bi
```

## Properties
SG = No. 123
Raw total energy = -51.615 eV/atom

A PBEsol-optimized structure of Ho2S3O12. Source: the Alexandria database, functional SCAN.

Geometry as POSCAR:
```
Ho2S3O12
1.0
9.184 0.000 0.000
0.000 9.269 0.000
0.000 0.000 12.810
Ho S O
8 12 48
Direct
0.250 0.964 0.117 Ho
0.750 0.464 0.117 Ho
0.250 0.464 0.383 Ho
0.750 0.964 0.383 Ho
0.250 0.036 0.617 Ho
0.750 0.536 0.617 Ho
0.250 0.536 0.883 Ho
0.750 0.036 0.883 Ho
0.033 0.250 0.000 S
0.967 0.750 0.000 S
0.392 0.611 0.145 S
0.608 0.111 0.145 S
0.108 0.111 0.355 S
0.892 0.611 0.355 S
0.467 0.750 0.500 S
0.533 0.250 0.500 S
0.108 0.389 0.645 S
0.892 0.889 0.645 S
0.392 0.889 0.855 S
0.608 0.389 0.855 S
0.666 0.073 0.042 O
0.334 0.573 0.042 O
0.874 0.650 0.060 O
0.126 0.150 0.060 O
0.059 0.831 0.074 O
0.941 0.331 0.074 O
0.449 0.092 0.146 O
0.551 0.592 0.146 O
0.358 0.763 0.169 O
0.642 0.263 0.169 O
0.326 0.516 0.224 O
0.674 0.016 0.224 O
0.174 0.016 0.276 O
0.826 0.516 0.276 O
0.858 0.763 0.331 O
0.142 0.263 0.331 O
0.051 0.592 0.354 O
0.949 0.092 0.354 O
0.441 0.331 0.426 O
0.559 0.831 0.426 O
0.374 0.650 0.440 O
0.626 0.150 0.440 O
0.166 0.073 0.458 O
0.834 0.573 0.458 O
0.166 0.427 0.542 O
0.834 0.927 0.542 O
0.626 0.350 0.560 O
0.374 0.850 0.560 O
0.441 0.169 0.574 O
0.559 0.669 0.574 O
0.051 0.908 0.646 O
0.949 0.408 0.646 O
0.142 0.237 0.669 O
0.858 0.737 0.669 O
0.174 0.484 0.724 O
0.826 0.984 0.724 O
0.326 0.984 0.776 O
0.674 0.484 0.776 O
0.358 0.737 0.831 O
0.642 0.237 0.831 O
0.449 0.408 0.854 O
0.551 0.908 0.854 O
0.059 0.669 0.926 O
0.941 0.169 0.926 O
0.126 0.350 0.940 O
0.874 0.850 0.940 O
0.334 0.927 0.958 O
0.666 0.427 0.958 O
```

## Properties
SG = No. 60
Raw total energy = -14.284 eV/atom

A PBEsol-optimized structure of CoIr2Os. Source: the Alexandria database, functional SCAN.

Geometry as POSCAR:
```
CoIr2Os
1.0
-2.431 1.072 -0.242
-1.860 -4.180 0.173
0.323 1.690 4.243
Os Ir Co
1 2 1
Direct
0.500 0.000 0.000 Os
0.000 0.500 0.000 Ir
0.000 0.000 0.500 Ir
0.500 0.500 0.500 Co
```

## Properties
Excess energy over the best structure of this formula in the dataset = 74 meV/atom
Formation energy = 90 meV per atom
SG = No. 65
Raw total energy = -57.756 eV/atom

A PBEsol-optimized structure of YHf2Al2. Source: the Alexandria database, functional SCAN.

Geometry as POSCAR:
```
YHf2Al2
1.0
-1.562 -1.633 -3.582
3.879 -1.300 -1.099
-2.163 -4.019 5.281
Y Hf Al
1 2 2
Direct
0.000 0.000 0.000 Y
0.391 0.391 0.781 Hf
0.609 0.609 0.219 Hf
0.250 0.750 0.500 Al
0.750 0.250 0.500 Al
```

## Properties
Formation energy = 184 meV per atom
SG = No. 139
Raw total energy = -33.555 eV/atom

A PBEsol-optimized structure of AsBr2Cl. Source: the Alexandria database, functional SCAN.

Geometry as POSCAR:
```
AsBr2Cl
1.0
3.724 0.000 0.000
-1.862 6.183 0.150
0.000 -2.922 5.606
As Br Cl
1 2 1
Direct
0.844 0.689 0.153 As
0.006 0.012 0.058 Br
0.222 0.443 0.837 Br
0.428 0.856 0.453 Cl
```

## Properties
Excess energy over the best structure of this formula in the dataset = 0 meV/atom
SG = No. 8
Raw total energy = -17.259 eV/atom

A PBEsol-optimized structure of K2CaMn. Source: the Alexandria database, functional SCAN.

Geometry as POSCAR:
```
K2CaMn
1.0
-0.835 -2.471 4.249
4.455 -2.202 -0.404
0.827 7.070 1.349
Ca K Mn
1 2 1
Direct
0.000 0.000 0.000 Ca
0.750 0.250 0.500 K
0.250 0.750 0.500 K
0.500 0.500 0.000 Mn
```

## Properties
Excess energy over the best structure of this formula in the dataset = 0 meV/atom
Formation energy = 458 meV per atom
SG = No. 139
Raw total energy = -10.686 eV/atom